# PBE Ta3BeS, relaxed
# VASP energy	-40.14	eV per cell
# ΔE_f (raw)	0.65	eV/atom
# relative energy among the computed polymorphs	0	meV per atom
# volume	18.4	Å³/atom
data_Ta3BeS
_chemical_formula_sum 'Ta3 Be1 S1'
_symmetry_space_group_name_H-M 'P m -3 m'
_symmetry_Int_Tables_number 221
_symmetry_space_group_name_Hall '-P 4 2 3'
_cell_length_a 4.517
_cell_length_b 4.517
_cell_length_c 4.517
_cell_angle_alpha 90.00
_cell_angle_beta 90.00
_cell_angle_gamma 90.00
loop_
_atom_site_label
_atom_site_type_symbol
_atom_site_fract_x
_atom_site_fract_y
_atom_site_fract_z
_atom_site_occupancy
Ta1 Ta 0.000 0.000 0.500 1
Be1 Be 0.500 0.500 0.500 1
S1 S 0.000 0.000 0.000 1